Record 1
Below is Sc3B2Rh5 at its PBEsol-relaxed geometry, with properties calculated at the SCAN level.

Results
Uncorrected energy = -23.6662 eV per atom
Symmetry = P4/mbm
Magnetic moment = 0.00 Bohr magnetons per cell
Formation enthalpy at 0 K = -1.023 eV per atom
N(E_F) = 0.366 states/eV/atom

Lattice parameters (Å, degrees): 9.3826 9.3826 3.0785 90.00 90.00 90.00
Fractional coordinates of all 20 atoms:
1 Sc 0.0000 0.0000 0.0000
2 Sc 0.1748 0.3252 0.0000
3 Sc 0.3252 0.8252 0.0000
4 Sc 0.5000 0.5000 0.0000
5 Sc 0.6748 0.1748 0.0000
6 Sc 0.8252 0.6748 0.0000
7 B 0.1227 0.6227 0.0000
8 B 0.3773 0.1227 0.0000
9 B 0.6227 0.8773 0.0000
10 B 0.8773 0.3773 0.0000
11 Rh 0.0000 0.5000 0.5000
12 Rh 0.0713 0.7774 0.5000
13 Rh 0.2226 0.0713 0.5000
14 Rh 0.2774 0.5713 0.5000
15 Rh 0.4287 0.2774 0.5000
16 Rh 0.5000 0.0000 0.5000
17 Rh 0.5713 0.7226 0.5000
18 Rh 0.7226 0.4287 0.5000
19 Rh 0.7774 0.9287 0.5000
20 Rh 0.9287 0.2226 0.5000



Record 2
Below is BRhSe3 at its PBEsol-relaxed geometry, with properties calculated at the SCAN level.

Results
Uncorrected energy = -19.0144 eV per atom
Symmetry = Pm-3m
Magnetic moment = 0.00 Bohr magnetons per cell
N(E_F) = 1.505 states/eV/atom

Lattice parameters (Å, degrees): 4.7944 4.7944 4.7944 90.00 90.00 90.00
Fractional coordinates of all 5 atoms:
1 B 0.0000 0.0000 0.0000
2 Rh 0.5000 0.5000 0.5000
3 Se 0.0000 0.5000 0.5000
4 Se 0.5000 0.0000 0.5000
5 Se 0.5000 0.5000 0.0000



Record 3
Below is BRh3Se at its PBEsol-relaxed geometry, with properties calculated at the SCAN level.

Results
Uncorrected energy = -25.6164 eV per atom
Symmetry = Pm-3m
Magnetic moment = 1.85 Bohr magnetons per cell
N(E_F) = 0.671 states/eV/atom

Lattice parameters (Å, degrees): 4.0835 4.0835 4.0835 90.00 90.00 90.00
Fractional coordinates of all 5 atoms:
1 B 0.0000 0.0000 0.0000
2 Rh 0.0000 0.0000 0.5000
3 Rh 0.0000 0.5000 0.0000
4 Rh 0.5000 0.0000 0.0000
5 Se 0.5000 0.5000 0.5000



Record 4
Below is Si3BRh at its PBEsol-relaxed geometry, with properties calculated at the SCAN level.

Results
Uncorrected energy = -13.0107 eV per atom
Symmetry = Pm-3m
Magnetic moment = 0.00 Bohr magnetons per cell
N(E_F) = 0.742 states/eV/atom

Lattice parameters (Å, degrees): 4.5144 4.5144 4.5144 90.00 90.00 90.00
Fractional coordinates of all 5 atoms:
1 Si 0.0000 0.0000 0.5000
2 Si 0.0000 0.5000 0.0000
3 Si 0.5000 0.0000 0.0000
4 B 0.5000 0.5000 0.5000
5 Rh 0.0000 0.0000 0.0000



Record 5
Below is SmB4Rh4 at its PBEsol-relaxed geometry, with properties calculated at the SCAN level.

Results
Uncorrected energy = -23.9127 eV per atom
Symmetry = P4_2/nmc
Magnetic moment = 0.00 Bohr magnetons per cell
Formation enthalpy at 0 K = -0.663 eV per atom
N(E_F) = 0.484 states/eV/atom

Lattice parameters (Å, degrees): 5.2955 5.2955 7.4094 90.00 90.00 90.00
Fractional coordinates of all 18 atoms:
1 Sm 0.2500 0.7500 0.2500
2 Sm 0.7500 0.2500 0.7500
3 B 0.0799 0.2500 0.0984
4 B 0.2500 0.0799 0.5984
5 B 0.2500 0.4201 0.5984
6 B 0.4201 0.2500 0.0984
7 B 0.5799 0.7500 0.9016
8 B 0.7500 0.5799 0.4016
9 B 0.7500 0.9201 0.4016
10 B 0.9201 0.7500 0.9016
11 Rh 0.0015 0.7500 0.6065
12 Rh 0.2500 0.5015 0.8935
13 Rh 0.2500 0.9985 0.8935
14 Rh 0.4985 0.7500 0.6065
15 Rh 0.5015 0.2500 0.3935
16 Rh 0.7500 0.0015 0.1065
17 Rh 0.7500 0.4985 0.1065
18 Rh 0.9985 0.2500 0.3935



Record 6
Below is Sn4BRh6 at its PBEsol-relaxed geometry, with properties calculated at the SCAN level.

Results
Uncorrected energy = -32.6673 eV per atom
Symmetry = P6_3/mmc
Magnetic moment = 0.00 Bohr magnetons per cell
Formation enthalpy at 0 K = -0.509 eV per atom
N(E_F) = 0.237 states/eV/atom

Lattice parameters (Å, degrees): 5.5805 5.5805 13.6790 90.00 90.00 120.00
Fractional coordinates of all 22 atoms:
1 Sn 0.0000 0.0000 0.2500
2 Sn 0.0000 0.0000 0.7500
3 Sn 0.3333 0.6667 0.0770
4 Sn 0.3333 0.6667 0.4230
5 Sn 0.3333 0.6667 0.7500
6 Sn 0.6667 0.3333 0.2500
7 Sn 0.6667 0.3333 0.5770
8 Sn 0.6667 0.3333 0.9230
9 B 0.0000 0.0000 0.0000
10 B 0.0000 0.0000 0.5000
11 Rh 0.1683 0.3366 0.5933
12 Rh 0.1683 0.3366 0.9067
13 Rh 0.1683 0.8317 0.5933
14 Rh 0.1683 0.8317 0.9067
15 Rh 0.3366 0.1683 0.0933
16 Rh 0.3366 0.1683 0.4067
17 Rh 0.6634 0.8317 0.5933
18 Rh 0.6634 0.8317 0.9067
19 Rh 0.8317 0.1683 0.0933
20 Rh 0.8317 0.1683 0.4067
21 Rh 0.8317 0.6634 0.0933
22 Rh 0.8317 0.6634 0.4067



- The lowest N(E_F) belongs to which entry?
  Sn4BRh6